Entry from the Alexandria database: a geometry-optimized SiH structure (PBE).

Cell lengths 4.2963, 2.5097, 2.5083 Å; angles 75.51, 69.52, 67.64 degrees
Fractional coordinates of all 2 atoms:
H 0.4015 0.7631 0.9292
Si 0.8020 0.5437 0.7481

Computed properties:
For the final energy, the calculation gives -3.9965 eV per atom. The calculated volume comes out at 23.2 Å³/f.u. The density of states at the Fermi level comes out at 0.1050 states/eV per atom. For the relative energy among the computed polymorphs, the calculation gives 374 meV/atom.